Material: SrLaNi2P2
Method: DFT, GGA-PBE
State: relaxed

Calculated values
* space group: P-3m1, No. 164
* total energy: -0.4261 Ry per atom
* total moment: 0.00 μB/atom

Lattice parameters (Å, degrees): 3.9835 3.9835 8.5339 90.00 90.00 120.00
Fractional positions:
1 La 0.0000 0.0000 0.0000
2 Ni 0.3333 0.6667 0.2407
3 Ni 0.6667 0.3333 0.7593
4 P 0.6667 0.3333 0.2424
5 P 0.3333 0.6667 0.7576
6 Sr 0.0000 0.0000 0.5000

Material: La5NiPb3
Method: DFT, GGA-PBE
State: relaxed

Calculated values
* space group: P6_3/mcm, No. 193
* total energy: -0.3779 Ry per atom
* total moment: 0.09 μB/atom

Lattice parameters (Å, degrees): 9.6416 9.6416 7.1737 90.00 90.00 120.00
Fractional positions:
1 La 0.6666 0.3333 0.0000
2 La 0.3333 0.6666 0.0000
3 La 0.7614 0.7614 0.2500
4 La 0.2386 0.0000 0.2500
5 La 0.0000 0.2386 0.2500
6 La 0.6667 0.3334 0.5000
7 La 0.3334 0.6667 0.5000
8 La 0.2386 0.2386 0.7500
9 La 0.7614 0.0000 0.7500
10 La 0.0000 0.7614 0.7500
11 Ni 0.0000 0.0000 0.0000
12 Ni 0.0000 0.0000 0.5000
13 Pb 0.5982 0.0000 0.2500
14 Pb 0.0000 0.5982 0.2500
15 Pb 0.4018 0.4018 0.2500
16 Pb 0.4018 0.0000 0.7500
17 Pb 0.0000 0.4018 0.7500
18 Pb 0.5982 0.5982 0.7500

Material: La3NiPb
Method: DFT, GGA-PBE
State: relaxed

Calculated values
* space group: P4mm, No. 99
* total energy: -0.3796 Ry per atom
* total moment: 0.01 μB/atom

Lattice parameters (Å, degrees): 5.3965 5.4189 5.4191 90.00 90.01 90.00
Fractional positions:
1 La 0.4038 0.0000 0.1042
2 La 0.9061 0.0000 0.6042
3 La 0.4039 0.5000 0.6046
4 Ni 0.4071 0.0000 0.6042
5 Pb 0.9045 0.5000 0.1042

Material: LaNiPd
Method: DFT, GGA-PBE
State: relaxed

Calculated values
* space group: F-43m, No. 216
* energy of formation: -0.3684 eV per atom
* total energy: -0.4109 Ry per atom
* total moment: 0.00 μB/atom

Lattice parameters (Å, degrees): 4.5096 4.5096 4.5096 60.00 60.00 60.00
Fractional positions:
1 La 0.2500 0.2500 0.2500
2 Ni 0.0000 0.0000 0.0000
3 Pd 0.7500 0.7500 0.7500

Material: LaNiPd
Method: DFT, GGA-PBE
State: relaxed

Calculated values
* space group: F-43m, No. 216
* energy of formation: 0.1079 eV per atom
* total energy: -0.3759 Ry per atom
* total moment: 0.00 μB/atom

Lattice parameters (Å, degrees): 4.6594 4.6594 4.6594 60.00 60.00 60.00
Fractional positions:
1 La 0.0000 0.0000 0.0000
2 Ni 0.2500 0.2500 0.2500
3 Pd 0.7500 0.7500 0.7500

Material: La3Ni4Pd4
Method: DFT, GGA-PBE
State: relaxed

Calculated values
* space group: Immm, No. 71
* energy of formation: -0.4421 eV per atom
* total energy: -0.4183 Ry per atom
* total moment: 0.00 μB/atom

Lattice parameters (Å, degrees): 12.9633 12.9633 12.9633 162.09 161.06 26.18
Fractional positions:
1 La 0.0000 0.0000 0.0000
2 La 0.6546 0.1546 0.5000
3 La 0.3454 0.8454 0.5000
4 Ni 0.2524 0.2524 0.0000
5 Ni 0.7476 0.7476 0.0000
6 Ni 0.9036 0.4036 0.5000
7 Ni 0.0964 0.5964 0.5000
8 Pd 0.4482 0.4482 0.0000
9 Pd 0.5518 0.5518 0.0000
10 Pd 0.8079 0.3079 0.5000
11 Pd 0.1921 0.6921 0.5000

Material: La2PrNiSn3Pd2
Method: DFT, GGA-PBE
State: relaxed

Calculated values
* space group: Amm2, No. 38
* total energy: -0.4103 Ry per atom
* total moment: 0.00 μB/atom

Lattice parameters (Å, degrees): 4.1131 7.7061 7.7061 120.31 90.00 90.00
Fractional positions:
1 La 0.0000 0.4108 0.0000
2 La 0.0000 0.0000 0.4108
3 Ni 0.0000 0.0005 0.0005
4 Pd 0.5000 0.6664 0.3313
5 Pd 0.5000 0.3313 0.6664
6 Pr 0.0000 0.5915 0.5915
7 Sn 0.5000 0.2421 0.2421
8 Sn 0.5000 0.9980 0.7594
9 Sn 0.5000 0.7594 0.9980

Material: LaPr2NiSn3Pd2
Method: DFT, GGA-PBE
State: relaxed

Calculated values
* space group: Amm2, No. 38
* total energy: -0.4080 Ry per atom
* total moment: 0.00 μB/atom

Lattice parameters (Å, degrees): 4.0987 7.6624 7.6624 119.66 90.00 90.00
Fractional positions:
1 La 0.0000 0.5889 0.5889
2 Ni 0.0000 0.9994 0.9994
3 Pd 0.5000 0.6670 0.3359
4 Pd 0.5000 0.3359 0.6670
5 Pr 0.0000 0.4086 0.0000
6 Pr 0.0000 0.0000 0.4086
7 Sn 0.5000 0.7587 0.0021
8 Sn 0.5000 0.2396 0.2396
9 Sn 0.5000 0.0021 0.7587